Here is a relaxed In2AgGe crystal from the Alexandria database. Energies are from PBE.

Computed properties:
The total energy comes out at -3.03 eV/atom. The value obtained for the density of states at the Fermi level is 4.867 states/eV/cell. The value obtained for the total magnetization is 0.000 μB per cell.

The structure in CIF format:
```
data_In2AgGe
_chemical_formula_sum 'In6 Ag3 Ge3'
_cell_length_a 3.1913
_cell_length_b 3.1913
_cell_length_c 32.2212
_cell_angle_alpha 90.00
_cell_angle_beta 90.00
_cell_angle_gamma 120.00
_symmetry_space_group_name_H-M 'R -3 m'
_symmetry_Int_Tables_number 166
_symmetry_space_group_name_Hall '-R 3 2"'
loop_
_atom_site_label
_atom_site_fract_x
_atom_site_fract_y
_atom_site_fract_z
_atom_site_occupancy
In1 0.0000 0.0000 0.0875 1
Ag1 0.0000 0.0000 0.0000 1
Ge1 0.0000 0.0000 0.5000 1
```